[1]
Below is a crystal of YGePd relaxed with PBEsol, with properties calculated at the meta-GGA SCAN level.

Computed properties:
Theoretical density ... 7.8 Mg/m³
Formation enthalpy at 0 K ... -1.065 eV per atom

Lattice parameters (Å, degrees): 10.3092 4.2968 6.9430 90.00 132.02 90.00
Space group C2/m (No. 12)
Inequivalent atoms, fractional coordinates:
Y1 0.0489 0.0000 0.3087
Ge1 0.1595 0.5000 0.0999
Pd1 0.1762 0.5000 0.7280

=====

[2]
Below is a crystal of Sn2BrCl2 relaxed with PBEsol, with properties calculated at the meta-GGA SCAN level.

Computed properties:
Theoretical density ... 4.7 Mg/m³
Calculated total energy ... -21.9614 eV per atom

Lattice parameters (Å, degrees): 4.6652 4.6652 12.5546 90.00 90.00 90.00
Space group I4/mmm (No. 139)
Inequivalent atoms, fractional coordinates:
Sn1 0.0000 0.0000 0.1237
Br1 0.0000 0.0000 0.5000
Cl1 0.0000 0.5000 0.2500

=====

[3]
Below is a crystal of YSbW3 relaxed with PBEsol, with properties calculated at the meta-GGA SCAN level.

Computed properties:
Theoretical density ... 11.4 Mg/m³
Calculated total energy ... -51.6588 eV per atom

Lattice parameters (Å, degrees): 4.8102 4.8102 4.8102 90.00 90.00 90.00
Space group Pm-3m (No. 221)
Inequivalent atoms, fractional coordinates:
Y1 0.0000 0.0000 0.0000
Sb1 0.5000 0.5000 0.5000
W1 0.0000 0.0000 0.5000

=====

[4]
Below is a crystal of InMoP3 relaxed with PBEsol, with properties calculated at the meta-GGA SCAN level.

Computed properties:
Theoretical density ... 4.4 Mg/m³
Formation enthalpy at 0 K ... 1.684 eV per atom

Lattice parameters (Å, degrees): 4.8406 4.8406 4.8406 90.00 90.00 90.00
Space group Pm-3m (No. 221)
Inequivalent atoms, fractional coordinates:
In1 0.0000 0.0000 0.0000
Mo1 0.5000 0.5000 0.5000
P1 0.0000 0.0000 0.5000

=====

[5]
Below is a crystal of Li3N relaxed with PBEsol, with properties calculated at the meta-GGA SCAN level.

Computed properties:
Theoretical density ... 1.3 Mg/m³
Distance to the lowest polymorph of the same formula ... 0 meV/atom

Lattice parameters (Å, degrees): 3.6041 3.6041 3.8447 90.00 90.00 120.00
Space group P6/mmm (No. 191)
Inequivalent atoms, fractional coordinates:
Li1 0.0000 0.0000 0.0000
Li2 0.3333 0.6667 0.5000
N1 0.0000 0.0000 0.5000

=====

[6]
Below is a crystal of Mg2Sc relaxed with PBEsol, with properties calculated at the meta-GGA SCAN level.

Computed properties:
Theoretical density ... 2.3 Mg/m³
Formation enthalpy at 0 K ... -0.020 eV per atom

Lattice parameters (Å, degrees): 11.9332 3.1505 7.5172 90.00 105.06 90.00
Space group C2/m (No. 12)
Inequivalent atoms, fractional coordinates:
Mg1 0.1406 0.0000 0.0308
Mg2 0.1964 0.0000 0.6418
Sc1 0.0236 0.5000 0.3044

=====

[7]
Below is a crystal of Mg3TiB2O8 relaxed with PBEsol, with properties calculated at the meta-GGA SCAN level.

Computed properties:
Theoretical density ... 3.3 Mg/m³
Calculated total energy ... -9.8444 eV per atom

Lattice parameters (Å, degrees): 3.0969 9.3733 9.3188 90.00 90.00 90.00
Space group Pmc2_1 (No. 26)
Inequivalent atoms, fractional coordinates:
Mg1 0.0000 0.0650 0.0000
Mg2 0.5000 0.1783 0.7285
Mg3 0.5000 0.4284 0.2035
Ti1 0.0000 0.3190 0.4960
B1 0.0000 0.3794 0.9290
B2 0.5000 0.1201 0.2757
O1 0.0000 0.1447 0.5785
O2 0.0000 0.2492 0.8603
O3 0.0000 0.3905 0.0742
O4 0.0000 0.4920 0.3496
O5 0.5000 0.0032 0.8556
O6 0.5000 0.1183 0.1308
O7 0.5000 0.2549 0.3475
O8 0.5000 0.3710 0.6024

=====

[8]
Below is a crystal of PtCl3 relaxed with PBEsol, with properties calculated at the meta-GGA SCAN level.

Computed properties:
Theoretical density ... 5.8 Mg/m³
Calculated total energy ... -23.6686 eV per atom

Lattice parameters (Å, degrees): 3.2977 5.7381 9.1845 90.00 90.00 90.00
Space group Immm (No. 71)
Inequivalent atoms, fractional coordinates:
Pt1 0.0000 0.0000 0.0000
Cl1 0.0000 0.0000 0.5000
Cl2 0.0000 0.5000 0.3262

=====

[9]
Below is a crystal of LiCdIr2 relaxed with PBEsol, with properties calculated at the meta-GGA SCAN level.

Computed properties:
Theoretical density ... 13.7 Mg/m³
Formation enthalpy at 0 K ... 0.166 eV per atom

Lattice parameters (Å, degrees): 2.7567 4.7216 9.4045 90.00 90.00 90.00
Space group Cmm2 (No. 35)
Inequivalent atoms, fractional coordinates:
Li1 0.0000 0.0000 0.0000
Cd1 0.0000 0.5000 0.2691
Ir1 0.0000 0.0000 0.5325
Ir2 0.0000 0.5000 0.7722

=====

[10]
Below is a crystal of Al2AgAu relaxed with PBEsol, with properties calculated at the meta-GGA SCAN level.

Computed properties:
Theoretical density ... 9.2 Mg/m³
Formation enthalpy at 0 K ... -0.179 eV per atom

Lattice parameters (Å, degrees): 2.8877 2.8877 7.7971 90.00 90.00 90.00
Space group P4mm (No. 99)
Inequivalent atoms, fractional coordinates:
Al1 0.0000 0.0000 0.0000
Al2 0.5000 0.5000 0.2540
Ag1 0.0000 0.0000 0.4959
Au1 0.5000 0.5000 0.7727

=====

[11]
Below is a crystal of Mg2InIr relaxed with PBEsol, with properties calculated at the meta-GGA SCAN level.

Computed properties:
Theoretical density ... 8.6 Mg/m³
Formation enthalpy at 0 K ... -0.382 eV per atom

Lattice parameters (Å, degrees): 4.1022 4.1022 8.1663 90.00 90.00 90.00
Space group I-4m2 (No. 119)
Inequivalent atoms, fractional coordinates:
Mg1 0.0000 0.0000 0.0000
Mg2 0.0000 0.5000 0.2500
In1 0.0000 0.5000 0.7500
Ir1 0.0000 0.0000 0.5000

=====

[12]
Below is a crystal of Mn2PSe relaxed with PBEsol, with properties calculated at the meta-GGA SCAN level.

Computed properties:
Theoretical density ... 6.1 Mg/m³
Distance to the lowest polymorph of the same formula ... 584 meV/atom

Lattice parameters (Å, degrees): 2.8078 2.8078 26.1898 90.00 90.00 120.00
Space group R3m (No. 160, hexagonal axes)
Inequivalent atoms, fractional coordinates:
Mn1 0.0000 0.0000 0.0000
Mn2 0.0000 0.0000 0.2595
P1 0.0000 0.0000 0.5318
Se1 0.0000 0.0000 0.7315

=====

[13]
Below is a crystal of BaZr2Cl relaxed with PBEsol, with properties calculated at the meta-GGA SCAN level.

Computed properties:
Theoretical density ... 5.8 Mg/m³
Distance to the lowest polymorph of the same formula ... 608 meV/atom

Lattice parameters (Å, degrees): 7.4302 7.4302 7.4302 90.00 90.00 90.00
Space group F-43m (No. 216)
Inequivalent atoms, fractional coordinates:
Ba1 0.0000 0.0000 0.0000
Zr1 0.0000 0.0000 0.5000
Zr2 0.2500 0.2500 0.7500
Cl1 0.2500 0.2500 0.2500

=====

[14]
Below is a crystal of ZnCrIn2 relaxed with PBEsol, with properties calculated at the meta-GGA SCAN level.

Computed properties:
Theoretical density ... 7.7 Mg/m³
Formation enthalpy at 0 K ... 0.183 eV per atom

Lattice parameters (Å, degrees): 3.1034 3.1034 7.7699 90.00 90.00 90.00
Space group P4mm (No. 99)
Inequivalent atoms, fractional coordinates:
Zn1 0.0000 0.0000 0.0000
Cr1 0.5000 0.5000 0.1774
In1 0.0000 0.0000 0.4058
In2 0.5000 0.5000 0.7378

=====

[15]
Below is a crystal of CuSeS relaxed with PBEsol, with properties calculated at the meta-GGA SCAN level.

Computed properties:
Theoretical density ... 5.7 Mg/m³
Calculated total energy ... -15.0860 eV per atom

Lattice parameters (Å, degrees): 5.8712 5.8712 5.8712 90.00 90.00 90.00
Space group P2_13 (No. 198)
Inequivalent atoms, fractional coordinates:
Cu1 0.0137 0.0137 0.0137
Se1 0.1118 0.6118 0.8882
S1 0.1050 0.8950 0.3950

=====

[16]
Below is a crystal of TlZnSi2 relaxed with PBEsol, with properties calculated at the meta-GGA SCAN level.

Computed properties:
Theoretical density ... 6.6 Mg/m³
Distance to the lowest polymorph of the same formula ... 0 meV/atom

Lattice parameters (Å, degrees): 3.7383 4.1463 5.3911 90.00 99.71 90.00
Space group P2/m (No. 10)
Inequivalent atoms, fractional coordinates:
Tl1 0.0000 0.0000 0.0000
Zn1 0.5000 0.0000 0.5000
Si1 0.2691 0.5000 0.6555

=====

[17]
Below is a crystal of YMoCl2 relaxed with PBEsol, with properties calculated at the meta-GGA SCAN level.

Computed properties:
Theoretical density ... 5.0 Mg/m³
Distance to the lowest polymorph of the same formula ... 0 meV/atom

Lattice parameters (Å, degrees): 3.2511 4.0365 12.8447 90.00 90.00 90.00
Space group Amm2 (No. 38)
Inequivalent atoms, fractional coordinates:
Y1 0.0000 0.0000 0.0000
Mo1 0.5000 0.0000 0.6244
Cl1 0.0000 0.0000 0.7627
Cl2 0.5000 0.0000 0.4303

=====

[18]
Below is a crystal of Ce2CdPt2 relaxed with PBEsol, with properties calculated at the meta-GGA SCAN level.

Computed properties:
Theoretical density ... 11.8 Mg/m³
Formation enthalpy at 0 K ... -1.083 eV per atom

Lattice parameters (Å, degrees): 7.7167 7.7167 3.6907 90.00 90.00 90.00
Space group P4/mbm (No. 127)
Inequivalent atoms, fractional coordinates:
Ce1 0.1700 0.3300 0.0000
Cd1 0.0000 0.0000 0.5000
Pt1 0.1323 0.6323 0.5000

=====

[19]
Below is a crystal of Er5Ge3 relaxed with PBEsol, with properties calculated at the meta-GGA SCAN level.

Computed properties:
Theoretical density ... 9.4 Mg/m³
Formation enthalpy at 0 K ... -0.874 eV per atom

Lattice parameters (Å, degrees): 8.3063 8.3063 6.2244 90.00 90.00 120.00
Space group P6_3/mcm (No. 193)
Inequivalent atoms, fractional coordinates:
Er1 0.0000 0.2411 0.2500
Er2 0.3333 0.6667 0.0000
Ge1 0.0000 0.3946 0.7500

=====

[20]
Below is a crystal of Zn2Ag relaxed with PBEsol, with properties calculated at the meta-GGA SCAN level.

Computed properties:
Theoretical density ... 9.0 Mg/m³
Formation enthalpy at 0 K ... -0.022 eV per atom

Lattice parameters (Å, degrees): 10.1013 2.8494 6.3583 90.00 105.08 90.00
Space group C2/m (No. 12)
Inequivalent atoms, fractional coordinates:
Zn1 0.1467 0.0000 0.0311
Zn2 0.1920 0.0000 0.6347
Ag1 0.0282 0.5000 0.2939